No. 1
{
  "formula": "NdY2SnC",
  "functional": "PBE",
  "state": "relaxed",
  "lattice_angstrom": [[4.9127, 0.0000, 0.0000], [0.0000, 4.9127, 0.0000], [0.0000, 0.0000, 5.1026]],
  "species": ["Nd", "Y", "Y", "Sn", "C"],
  "frac_coords": [[0.0000, 0.0000, 0.0000], [0.0000, 0.5000, 0.5000], [0.5000, 0.0000, 0.5000], [0.5000, 0.5000, 0.0000], [0.0000, 0.0000, 0.5000]],
  "magmom_total_mub_per_atom": 0.000,
  "dos_at_fermi_per_ev_cell": 2.32,
  "energy_ry_per_atom": -0.49772,
  "space_group": "No. 123"
}

***

No. 2
{
  "formula": "Nd2YSnC",
  "functional": "PBE",
  "state": "relaxed",
  "lattice_angstrom": [[5.1123, 0.0000, 0.0000], [0.0000, 5.1123, 0.0000], [0.0000, 0.0000, 4.9117]],
  "species": ["Nd", "Nd", "Y", "Sn", "C"],
  "frac_coords": [[0.0000, 0.5000, 0.0000], [0.5000, 0.0000, 0.0000], [0.0000, 0.0000, 0.5000], [0.5000, 0.5000, 0.5000], [0.0000, 0.0000, 0.0000]],
  "magmom_total_mub_per_atom": 0.000,
  "dos_at_fermi_per_ev_cell": 2.34,
  "energy_ry_per_atom": -0.46829,
  "space_group": "No. 123"
}

***

No. 3
{
  "formula": "SrNd2C",
  "functional": "PBE",
  "state": "relaxed",
  "lattice_angstrom": [[3.2939, -1.9009, 0.0000], [3.2939, 1.9009, 0.0000], [-0.0483, 0.0000, 10.1427]],
  "species": ["Sr", "Nd", "Nd", "C"],
  "frac_coords": [[0.0000, 0.0000, 0.0000], [0.3322, 0.3322, 0.3626], [0.6678, 0.6678, 0.6374], [0.0000, 0.0000, 0.5000]],
  "magmom_total_mub_per_atom": 0.000,
  "dos_at_fermi_per_ev_cell": 3.96,
  "energy_ry_per_atom": -0.37669,
  "relative_energy_mev_per_atom": 0,
  "space_group": "No. 12"
}

***

No. 4
{
  "formula": "SrNdC",
  "functional": "PBE",
  "state": "relaxed",
  "lattice_angstrom": [[2.7825, -2.7244, 0.0000], [2.7825, 2.7244, 0.0000], [-0.0281, 0.0000, 11.3004]],
  "species": ["Sr", "Sr", "Nd", "Nd", "C", "C"],
  "frac_coords": [[0.0000, 0.0000, 0.0000], [0.5005, 0.5005, 0.3069], [0.4902, 0.4902, 0.7581], [0.9892, 0.9892, 0.5485], [0.4524, 0.4524, 0.5358], [0.9547, 0.9547, 0.7708]],
  "magmom_total_mub_per_atom": 0.002,
  "dos_at_fermi_per_ev_cell": 4.00,
  "energy_ry_per_atom": -0.37037,
  "space_group": "No. 8"
}